1.
AlSiRh after structural relaxation. Source: Alexandria via LeMat-Bulk, functional PBE.

POSCAR file:
```
AlSiRh
1.0
4.159 0.000 0.000
-2.080 3.602 0.000
0.000 0.000 2.852
Si Rh Al
1 1 1
Cartesian
2.080 1.201 1.425 Si
0.000 2.401 1.426 Rh
0.000 0.000 0.001 Al
```

Computed properties:
formation energy without anion corrections = -0.440 eV/atom
E_tot = -0.2185 Ha/atom
ρ = 6.1 g/cm3


2.
Al3SiRh after structural relaxation. Source: Alexandria via LeMat-Bulk, functional PBE.

POSCAR file:
```
Al3SiRh
1.0
4.661 0.000 0.000
0.000 4.661 0.000
0.000 0.000 4.661
Si Rh Al
1 1 3
Cartesian
2.330 2.330 2.330 Si
0.000 0.000 0.000 Rh
0.000 2.330 0.000 Al
0.000 0.000 2.330 Al
2.330 0.000 0.000 Al
```

Computed properties:
formation energy without anion corrections = 0.144 eV/atom
E above lowest polymorph = 0.000 eV/atom
E_tot = -0.1711 Ha/atom
ρ = 3.5 g/cm3


3.
AlSi2Rh after structural relaxation. Source: Alexandria via LeMat-Bulk, functional PBE.

POSCAR file:
```
AlSi2Rh
1.0
-6.204 0.780 -4.644
-6.390 -2.120 -3.918
-7.507 -0.039 -2.075
Si Rh Al
2 1 1
Cartesian
-19.998 -1.372 -10.583 Si
-10.152 -0.697 -5.373 Si
-5.025 -0.345 -2.659 Rh
-15.075 -1.034 -7.978 Al
```

Computed properties:
formation energy without anion corrections = -0.211 eV/atom
E_tot = -0.2093 Ha/atom
ρ = 5.2 g/cm3


4.
AlSi2Rh after structural relaxation. Source: Alexandria via LeMat-Bulk, functional PBE.

POSCAR file:
```
AlSi2Rh
1.0
4.673 -0.004 0.000
1.533 4.414 0.000
-3.103 -2.205 2.710
Si Rh Al
2 1 1
Cartesian
0.000 0.000 0.000 Si
0.766 2.207 1.355 Si
2.336 -0.002 1.355 Rh
3.103 2.205 0.000 Al
```

Computed properties:
formation energy without anion corrections = -0.139 eV/atom
E_tot = -0.2067 Ha/atom
ρ = 5.5 g/cm3


5.
AlSiRh after structural relaxation. Source: Alexandria via LeMat-Bulk, functional PBE.

POSCAR file:
```
AlSiRh
1.0
-1.569 -2.487 0.207
2.579 0.001 -1.428
2.743 -1.317 4.952
Si Rh Al
1 1 1
Cartesian
2.970 -1.680 2.318 Si
0.759 -2.111 1.368 Rh
0.025 -0.012 0.045 Al
```

Computed properties:
formation energy without anion corrections = -0.478 eV/atom
E_tot = -0.2199 Ha/atom
ρ = 6.0 g/cm3


6.
Al2SiRh after structural relaxation. Source: Alexandria via LeMat-Bulk, functional PBE.

POSCAR file:
```
Al2SiRh
1.0
4.592 0.022 -0.008
3.650 2.787 -0.008
0.460 0.157 4.508
Si Rh Al
1 1 2
Cartesian
6.572 2.240 3.372 Si
4.348 1.482 2.231 Rh
0.468 0.159 4.465 Al
2.124 0.724 1.179 Al
```

Computed properties:
formation energy without anion corrections = -0.423 eV/atom
E_tot = -0.2017 Ha/atom
ρ = 5.4 g/cm3


7.
Al2SiRh after structural relaxation. Source: Alexandria via LeMat-Bulk, functional PBE.

POSCAR file:
```
Al2SiRh
1.0
2.849 0.022 0.000
-0.020 2.849 0.000
0.000 0.000 7.238
Si Rh Al
1 1 2
Cartesian
1.414 1.435 5.429 Si
1.414 1.435 1.810 Rh
0.000 0.000 0.171 Al
0.000 0.000 3.448 Al
```

Computed properties:
formation energy without anion corrections = -0.381 eV/atom
E_tot = -0.2001 Ha/atom
ρ = 5.2 g/cm3


8.
Al2SiRh after structural relaxation. Source: Alexandria via LeMat-Bulk, functional PBE.

POSCAR file:
```
Al2SiRh
1.0
-1.192 -1.177 -2.499
3.293 -1.353 -0.933
-1.079 -4.413 2.593
Si Rh Al
1 1 2
Cartesian
0.228 -4.630 0.262 Si
-0.522 -2.135 1.255 Rh
-1.065 -4.357 2.561 Al
0.764 -2.439 -1.026 Al
```

Computed properties:
formation energy without anion corrections = -0.339 eV/atom
E_tot = -0.1986 Ha/atom
ρ = 5.3 g/cm3


9.
Al2SiRh after structural relaxation. Source: Alexandria via LeMat-Bulk, functional PBE.

POSCAR file:
```
Al2SiRh
1.0
5.051 0.023 0.026
2.085 4.601 -0.026
-3.045 -3.119 2.552
Si Rh Al
1 1 2
Cartesian
2.695 -0.452 1.289 Si
3.659 2.371 0.000 Rh
7.068 4.579 0.000 Al
1.375 1.942 1.263 Al
```

Computed properties:
formation energy without anion corrections = -0.288 eV/atom
E_tot = -0.1967 Ha/atom
ρ = 5.2 g/cm3


10.
AlSi2Rh after structural relaxation. Source: Alexandria via LeMat-Bulk, functional PBE.

POSCAR file:
```
AlSi2Rh
1.0
4.597 0.018 0.000
1.171 4.445 0.000
-2.884 -2.231 2.799
Si Rh Al
2 1 1
Cartesian
0.000 0.000 0.000 Si
2.884 2.231 0.000 Si
2.298 0.009 1.399 Rh
0.586 2.222 1.399 Al
```

Computed properties:
formation energy without anion corrections = -0.102 eV/atom
E_tot = -0.2053 Ha/atom
ρ = 5.4 g/cm3


11.
AlSi2Rh after structural relaxation. Source: Alexandria via LeMat-Bulk, functional PBE.

POSCAR file:
```
AlSi2Rh
1.0
4.295 0.000 0.000
0.000 3.412 -0.013
0.000 1.134 4.344
Si Rh Al
2 1 1
Cartesian
0.000 2.143 0.148 Si
0.000 3.541 2.005 Si
2.147 3.409 3.249 Rh
2.147 1.136 1.083 Al
```

Computed properties:
formation energy without anion corrections = -0.245 eV/atom
E_tot = -0.2106 Ha/atom
ρ = 4.8 g/cm3


12.
Al2SiRh5 after structural relaxation. Source: Alexandria via LeMat-Bulk, functional PBE.

POSCAR file:
```
Al2SiRh5
1.0
-2.136 -0.519 3.440
4.505 -0.366 2.742
-0.077 9.993 1.459
Al Si Rh
4 2 10
Cartesian
0.538 3.217 3.241 Al
1.754 5.892 4.400 Al
-0.516 8.295 3.353 Al
2.807 0.813 4.288 Al
-0.039 4.996 0.730 Si
2.252 -0.183 1.371 Si
0.431 0.689 2.794 Rh
1.860 8.420 4.847 Rh
2.662 3.362 4.582 Rh
-0.370 5.747 3.059 Rh
3.850 6.934 3.437 Rh
0.577 2.693 0.765 Rh
1.594 7.604 2.137 Rh
2.834 2.024 2.065 Rh
2.214 4.814 2.101 Rh
0.000 0.000 0.000 Rh
```

Computed properties:
formation energy without anion corrections = -0.836 eV/atom
E_tot = -0.2589 Ha/atom
ρ = 9.1 g/cm3


Look up the formation energy without anion corrections of the eighth one.
-0.339 eV/atom


Which of these has the lowest ρ?
Al3SiRh


Copy entry 8 word for word.
Al2SiRh after structural relaxation. Source: Alexandria via LeMat-Bulk, functional PBE.

POSCAR file:
```
Al2SiRh
1.0
-1.192 -1.177 -2.499
3.293 -1.353 -0.933
-1.079 -4.413 2.593
Si Rh Al
1 1 2
Cartesian
0.228 -4.630 0.262 Si
-0.522 -2.135 1.255 Rh
-1.065 -4.357 2.561 Al
0.764 -2.439 -1.026 Al
```

Computed properties:
formation energy without anion corrections = -0.339 eV/atom
E_tot = -0.1986 Ha/atom
ρ = 5.3 g/cm3